{
  "formula": "IBrO",
  "functional": "PBE",
  "state": "optimized geometry",
  "cell": [[5.2184, 0.0000, 0.0000], [0.0000, 7.2008, 0.0000], [-1.6805, 0.0000, 5.0670]],
  "species": ["I", "I", "Br", "Br", "O", "O"],
  "fractional_positions": [[0.0000, 0.1644, 0.0000], [0.0000, 0.8356, 0.5000], [0.7942, 0.3381, 0.3477], [0.7942, 0.6619, 0.8477], [0.1928, 0.0044, 0.7830], [0.1928, 0.9956, 0.2830]],
  "m_tot_mub_per_fu": 0.0,
  "space_group": "No. 7",
  "raw_formation_energy_ev_per_atom": -0.03,
  "final_energy_ev_per_atom": -2.756,
  "crystal_system": "monoclinic",
  "relative_energy_mev_per_atom": 32
}